# 1
! CsYFe2Br8 PBE optimized geometry; values from VASP
! **Formation energy from raw total energies**: -1.101 eV per atom
! **Final energy**: -4.2365 eV per atom
&SYSTEM
  ibrav = 0, nat = 12, ntyp = 4
/
ATOMIC_SPECIES
Cs 132.91 Cs.upf
Y 88.91 Y.upf
Fe 55.84 Fe.upf
Br 79.90 Br.upf
CELL_PARAMETERS angstrom
5.6850 -3.8855 0.0000
5.6850 3.8855 0.0000
-1.3184 0.0000 10.4866
ATOMIC_POSITIONS crystal
Cs 0.0000 0.0000 0.0000
Y 0.0000 0.0000 0.5000
Fe 0.3821 0.3821 0.7047
Fe 0.6179 0.6179 0.2953
Br 0.2312 0.7308 0.3037
Br 0.2474 0.2474 0.5046
Br 0.2692 0.7688 0.6963
Br 0.3139 0.3139 0.9069
Br 0.6861 0.6861 0.0931
Br 0.7308 0.2312 0.3037
Br 0.7526 0.7526 0.4954
Br 0.7688 0.2692 0.6963

***

# 2
! Ge2Sb4P PBE optimized geometry; values from VASP
! **Formation energy from raw total energies**: 0.477 eV per atom
! **Final energy**: -3.9711 eV per atom
&SYSTEM
  ibrav = 0, nat = 7, ntyp = 3
/
ATOMIC_SPECIES
Ge 72.64 Ge.upf
Sb 121.76 Sb.upf
P 30.97 P.upf
CELL_PARAMETERS angstrom
-2.5914 2.5914 7.4870
2.5914 -2.5914 7.4870
2.5914 2.5914 -7.4870
ATOMIC_POSITIONS crystal
Ge 0.0951 0.0951 0.0000
Ge 0.9049 0.9049 0.0000
Sb 0.0000 0.5000 0.5000
Sb 0.2717 0.2717 0.0000
Sb 0.5000 0.0000 0.5000
Sb 0.7283 0.7283 0.0000
P 0.5000 0.5000 0.0000

***

# 3
! Dy5Ho2Sc12 PBE optimized geometry; values from VASP
! **Final energy**: -5.5608 eV per atom
! **Energy relative to the elements**: 3.0 kcal/mol of atoms
&SYSTEM
  ibrav = 0, nat = 19, ntyp = 3
/
ATOMIC_SPECIES
Dy 162.50 Dy.upf
Ho 164.93 Ho.upf
Sc 44.96 Sc.upf
CELL_PARAMETERS angstrom
7.3255 -4.3300 0.0000
7.3255 4.3300 0.0000
-0.4611 0.0000 8.2137
ATOMIC_POSITIONS crystal
Dy 0.0000 0.0000 0.0000
Dy 0.2347 0.2347 0.0740
Dy 0.2872 0.2872 0.4849
Dy 0.7128 0.7128 0.5151
Dy 0.7653 0.7653 0.9260
Ho 0.3217 0.6783 0.5000
Ho 0.6783 0.3217 0.5000
Sc 0.0309 0.6756 0.2524
Sc 0.0692 0.0692 0.3714
Sc 0.1818 0.5591 0.8335
Sc 0.3244 0.9691 0.7476
Sc 0.4409 0.8182 0.1665
Sc 0.4476 0.4476 0.1624
Sc 0.5524 0.5524 0.8376
Sc 0.5591 0.1818 0.8335
Sc 0.6756 0.0309 0.2524
Sc 0.8182 0.4409 0.1665
Sc 0.9308 0.9308 0.6286
Sc 0.9691 0.3244 0.7476

***

Number 1: total magnetization 0.67 μB/atom. Number 2: total magnetization 0.00 μB/atom. Number 3: total magnetization 0.00 μB/atom.